Record 1
VASP calculation (PBE-GGA) on a relaxed Rb2U3HgS8 crystal.

Values from the calculation:
Its space-group type is No. 160. As for the mass density: 4.8 g/cm³.

Unit cell a=9.4422 b=9.4422 c=9.4422 alpha=50.67 beta=50.67 gamma=50.67
Closest atoms and distances in Å follow each position.
Sites, in units of the cell vectors:
Rb: 0.0000 0.0000 0.0000  4 S 3.26-3.40
Rb: 0.3629 0.3629 0.3629  6 S 3.44
U: 0.3630 0.3630 0.8603  6 S 2.61-2.74
U: 0.3630 0.8603 0.3630  6 S 2.61-2.74
U: 0.8603 0.3630 0.3630  6 S 2.61-2.74
Hg: 0.7236 0.7236 0.7236  4 S 3.27-3.42
S: 0.1027 0.1027 0.5514  2 U 2.63
S: 0.1027 0.5514 0.1027  2 U 2.63
S: 0.1380 0.1380 0.1380  3 U 2.74
S: 0.1712 0.6242 0.6242  2 U 2.61
S: 0.5514 0.1027 0.1027  2 U 2.63
S: 0.5848 0.5848 0.5848  3 U 2.70
S: 0.6243 0.1712 0.6243  2 U 2.61
S: 0.6243 0.6242 0.1712  2 U 2.61

Record 2
VASP calculation (PBE-GGA) on a relaxed Rb2HgWS4 crystal.

Values from the calculation:
Its space-group type is No. 70. As for the mass density: 3.7 g/cm³.

Unit cell a=13.8371 b=12.9753 c=7.3788 alpha=80.58 beta=67.68 gamma=31.74
Closest atoms and distances in Å follow each position.
Sites, in units of the cell vectors:
Rb: 0.0635 0.0635 0.6865  4 S 3.42-3.78
Rb: 0.3135 0.3135 0.9365  4 S 3.42-3.78
Rb: 0.6865 0.6865 0.0635  4 S 3.42-3.78
Rb: 0.9365 0.9365 0.3135  4 S 3.42-3.78
Hg: 0.1250 0.1250 0.1250  4 S 3.20
Hg: 0.8750 0.8750 0.8750  4 S 3.20
W: 0.3750 0.3750 0.3750  4 S 2.21
W: 0.6250 0.6250 0.6250  4 S 2.21
S: 0.0582 0.5890 0.4898  1 W 2.21
S: 0.3631 0.4898 0.5890  1 W 2.21
S: 0.4110 0.9418 0.6369  1 W 2.21
S: 0.4898 0.3631 0.0582  1 W 2.21
S: 0.5102 0.6369 0.9418  1 W 2.21
S: 0.5890 0.0582 0.3631  1 W 2.21
S: 0.6369 0.5102 0.4110  1 W 2.21
S: 0.9418 0.4110 0.5102  1 W 2.21

Record 3
VASP calculation (PBE-GGA) on a relaxed RbHgWS4 crystal.

Values from the calculation:
Its space-group type is No. 11. As for the mass density: 4.8 g/cm³.

Unit cell a=5.7209 b=7.4557 c=9.8621 alpha=90.00 beta=102.87 gamma=90.00
Closest atoms and distances in Å follow each position.
Sites, in units of the cell vectors:
Rb: 0.2141 0.2500 0.3782  11 S 3.55-3.92
Rb: 0.7859 0.7500 0.6218  11 S 3.55-3.92
Hg: 0.3842 0.7500 0.9944  1 S 2.68
Hg: 0.6158 0.2500 0.0056  1 S 2.68
W: 0.1292 0.2500 0.7761  4 S 2.17-2.28
W: 0.8708 0.7500 0.2239  4 S 2.17-2.28
S: 0.0809 0.2500 0.9989  1 W 2.28
S: 0.2210 0.7500 0.3659  1 W 2.17
S: 0.3189 0.0055 0.7328  1 W 2.21
S: 0.3189 0.4945 0.7328  1 W 2.21
S: 0.6811 0.5055 0.2672  1 W 2.21
S: 0.6811 0.9945 0.2672  1 W 2.21
S: 0.7790 0.2500 0.6341  1 W 2.17
S: 0.9191 0.7500 0.0011  1 W 2.28

Record 4
VASP calculation (PBE-GGA) on a relaxed RbYHgS3 crystal.

Values from the calculation:
Its space-group type is No. 11. As for the mass density: 4.5 g/cm³.

Unit cell a=8.8719 b=4.1471 c=10.0645 alpha=90.00 beta=108.34 gamma=90.00
Closest atoms and distances in Å follow each position.
Sites, in units of the cell vectors:
Rb: 0.2157 0.2500 0.2382  7 S 3.38-3.71
Rb: 0.7843 0.7500 0.7618  7 S 3.38-3.71
Y: 0.3332 0.7500 0.8652  5 S 2.68-2.82
Y: 0.6668 0.2500 0.1348  5 S 2.68-2.82
Hg: 0.0957 0.2500 0.6151  3 S 2.51-2.59
Hg: 0.9043 0.7500 0.3849  3 S 2.51-2.59
S: 0.1192 0.2500 0.8698  1 Hg 2.51
S: 0.2308 0.7500 0.5476  3 Hg 2.59-2.84
S: 0.4660 0.7500 0.1443  3 Y 2.68-2.76
S: 0.5340 0.2500 0.8557  3 Y 2.68-2.76
S: 0.7692 0.2500 0.4524  3 Hg 2.59-2.84
S: 0.8808 0.7500 0.1302  1 Hg 2.51

Record 5
VASP calculation (PBE-GGA) on a relaxed Rb2YHgS crystal.

Values from the calculation:
Its space-group type is No. 123. As for the mass density: 3.6 g/cm³.

Unit cell a=6.5556 b=6.5556 c=5.2298 alpha=90.00 beta=90.00 gamma=90.00
Closest atoms and distances in Å follow each position.
Sites, in units of the cell vectors:
Rb: 0.0000 0.5000 0.0000  2 S 3.28
Rb: 0.5000 0.0000 0.0000  2 S 3.28
Y: 0.0000 0.0000 0.5000  8 Rb 4.19, 4 Hg 4.64
Hg: 0.5000 0.5000 0.5000  2 S 2.61
S: 0.5000 0.5000 0.0000  2 Hg 2.61

Record 6
VASP calculation (PBE-GGA) on a relaxed Rb2Zn2HgS4 crystal.

Values from the calculation:
Its space-group type is No. 12. As for the mass density: 4.5 g/cm³.

Unit cell a=8.5148 b=8.5148 c=7.5441 alpha=108.53 beta=108.53 gamma=26.73
Closest atoms and distances in Å follow each position.
Sites, in units of the cell vectors:
Rb: 0.1246 0.1246 0.0257  7 S 3.42-3.53
Rb: 0.8754 0.8754 0.9743  7 S 3.42-3.53
Zn: 0.3239 0.3239 0.5076  4 S 2.34-2.47
Zn: 0.6761 0.6761 0.4924  4 S 2.34-2.47
Hg: 0.0000 0.0000 0.5000  4 S 2.69
S: 0.2202 0.2202 0.6806  3 Zn 2.40-2.47
S: 0.4657 0.4657 0.7079  1 Zn 2.34
S: 0.5343 0.5343 0.2921  1 Zn 2.34
S: 0.7798 0.7798 0.3194  3 Zn 2.40-2.47

no.,electronic total energy (eV/atom),raw formation energy (eV/atom)
1,-6.1492,-1.21
2,-4.7090,-0.75
3,-4.9484,-0.56
4,-4.5881,-1.24
5,-2.3477,0.22
6,-3.1473,-0.78